Rb3H6SN2: optimized geometry, GGA-PBE.

Output
- Uncorrected energy: -4.05 eV/atom
- M_tot: 0.00 Bohr magnetons per cell

Unit cell a=6.479 b=6.479 c=6.727 alpha=90.00 beta=90.00 gamma=120.00
Sites, in units of the cell vectors:
H 0.249 0.498 0.190
Rb 0.667 0.333 0.351
H 0.502 0.751 0.190
H 0.751 0.502 0.810
H 0.249 0.751 0.190
Rb 0.333 0.667 0.649
N 0.333 0.667 0.128
S 0.000 0.000 0.500
N 0.667 0.333 0.872
Rb 0.000 0.000 0.000
H 0.751 0.249 0.810
H 0.498 0.249 0.810

=====

Rb2Sn2H3N: optimized geometry, GGA-PBE.

Output
- Uncorrected energy: -3.87 eV/atom
- M_tot: 0.00 Bohr magnetons per cell

Unit cell a=9.537 b=13.394 c=13.644 alpha=72.10 beta=90.00 gamma=90.00
Sites, in units of the cell vectors:
H 0.836 0.835 0.695
H 0.332 0.824 0.125
Rb 0.444 0.820 0.427
Rb 0.717 0.577 0.131
N 0.581 0.145 0.920
H 0.430 0.560 0.313
H 0.498 0.155 0.870
Sn 0.924 0.150 0.691
Sn 0.508 0.311 0.115
Sn 0.485 0.131 0.310
Rb 0.299 0.514 0.541
Rb 0.701 0.486 0.459
Sn 0.719 0.285 0.282
N 0.081 0.355 0.080
H 0.502 0.845 0.130
Sn 0.515 0.869 0.690
H 0.561 0.195 0.963
H 0.668 0.176 0.875
H 0.010 0.826 0.707
Sn 0.008 0.189 0.885
Sn 0.015 0.631 0.310
Rb 0.215 0.562 0.093
H 0.070 0.060 0.313
Rb 0.783 0.077 0.131
Sn 0.781 0.785 0.282
Rb 0.283 0.423 0.869
N 0.571 0.372 0.667
H 0.998 0.345 0.130
Rb 0.944 0.680 0.573
N 0.919 0.645 0.920
Sn 0.424 0.350 0.309
Sn 0.219 0.215 0.718
Rb 0.201 0.014 0.541
H 0.439 0.805 0.037
H 0.930 0.940 0.687
Sn 0.492 0.689 0.885
H 0.510 0.674 0.293
N 0.071 0.128 0.333
Rb 0.056 0.320 0.427
N 0.929 0.872 0.667
Rb 0.799 0.986 0.459
N 0.419 0.855 0.080
Sn 0.281 0.715 0.718
Rb 0.285 0.062 0.093
Sn 0.992 0.811 0.115
Rb 0.556 0.180 0.573
Sn 0.076 0.850 0.309
H 0.168 0.324 0.125
Rb 0.217 0.923 0.869
Rb 0.715 0.938 0.907
H 0.664 0.335 0.695
H 0.336 0.665 0.305
H 0.832 0.676 0.875
H 0.490 0.326 0.707
Sn 0.985 0.369 0.690
N 0.429 0.628 0.333
H 0.990 0.174 0.293
H 0.939 0.695 0.963
H 0.061 0.305 0.037
Sn 0.576 0.650 0.691
Rb 0.785 0.438 0.907
H 0.164 0.165 0.305
H 0.002 0.655 0.870
H 0.570 0.440 0.687

=====

Rb2SnH12N6: optimized geometry, GGA-PBE.

Output
- Uncorrected energy: -4.90 eV/atom
- M_tot: 0.00 Bohr magnetons per cell

Unit cell a=6.850 b=6.850 c=5.982 alpha=90.00 beta=90.00 gamma=120.00
Sites, in units of the cell vectors:
H 0.211 0.967 0.632
H 0.602 0.863 0.773
N 0.089 0.301 0.791
H 0.756 0.789 0.632
H 0.739 0.602 0.227
N 0.911 0.699 0.209
N 0.787 0.089 0.209
H 0.244 0.211 0.368
H 0.261 0.398 0.773
N 0.699 0.787 0.791
N 0.213 0.911 0.791
Sn 0.000 0.000 0.000
H 0.789 0.033 0.368
H 0.863 0.261 0.227
Rb 0.333 0.667 0.164
Rb 0.667 0.333 0.836
H 0.137 0.739 0.773
H 0.033 0.244 0.632
N 0.301 0.213 0.209
H 0.398 0.137 0.227
H 0.967 0.756 0.368

=====

RbSn2H6N2: optimized geometry, GGA-PBE.

Output
- Uncorrected energy: -4.39 eV/atom
- M_tot: 0.00 Bohr magnetons per cell

Unit cell a=4.687 b=7.267 c=11.204 alpha=137.09 beta=90.02 gamma=71.14
Sites, in units of the cell vectors:
H 0.043 0.260 0.232
N 0.188 0.625 0.679
N 0.812 0.375 0.321
H 0.163 0.678 0.616
H 0.302 0.740 0.769
H 0.698 0.260 0.231
H 0.957 0.740 0.768
H 0.837 0.322 0.384
Sn 0.288 0.425 0.026
Sn 0.712 0.575 0.974
Rb 0.500 0.000 0.500

=====

RbTa2HN: optimized geometry, GGA-PBE.

Output
- M_tot: 0.00 Bohr magnetons per cell
- Energy above the most stable polymorph in this dataset: 1063 meV/atom

Unit cell a=3.978 b=3.978 c=5.584 alpha=90.00 beta=90.00 gamma=90.00
Sites, in units of the cell vectors:
N 0.500 0.500 0.500
Ta 0.000 0.500 0.000
H 0.000 0.000 0.000
Rb 0.000 0.000 0.500
Ta 0.500 0.000 0.000

=====

RbTa2HN: optimized geometry, GGA-PBE.

Output
- M_tot: 0.00 Bohr magnetons per cell
- Energy above the most stable polymorph in this dataset: 0 meV/atom

Unit cell a=4.071 b=7.826 c=4.071 alpha=90.00 beta=90.00 gamma=90.00
Sites, in units of the cell vectors:
Rb 0.500 0.500 0.500
Ta 0.500 0.000 0.000
H 0.000 0.500 0.000
Ta 0.000 0.000 0.500
N 0.000 0.000 0.000

=====

RbTeH6N2: optimized geometry, GGA-PBE.

Output
- Uncorrected energy: -4.52 eV/atom
- M_tot: 0.00 Bohr magnetons per cell

Unit cell a=8.587 b=8.587 c=6.729 alpha=106.10 beta=106.10 gamma=127.62
Sites, in units of the cell vectors:
Rb 0.830 0.170 0.750
H 0.278 0.450 0.342
H 0.550 0.722 0.158
H 0.678 0.655 0.276
Te 0.279 0.721 0.750
Rb 0.170 0.830 0.250
H 0.902 0.837 0.790
H 0.450 0.278 0.842
Te 0.721 0.279 0.250
N 0.297 0.205 0.690
H 0.098 0.163 0.210
H 0.345 0.322 0.224
H 0.722 0.550 0.658
N 0.795 0.703 0.810
H 0.163 0.098 0.710
H 0.837 0.902 0.290
N 0.205 0.297 0.190
N 0.703 0.795 0.310
H 0.322 0.345 0.724
H 0.655 0.678 0.776

=====

RbTe2HN: optimized geometry, GGA-PBE.

Output
- M_tot: 2.69 Bohr magnetons per cell
- Energy above the most stable polymorph in this dataset: 0 meV/atom

Unit cell a=4.514 b=4.514 c=6.462 alpha=90.00 beta=90.00 gamma=90.00
Last column: magnetic moment on the atom in μB.
Sites, in units of the cell vectors:
Te 0.500 0.000 0.000  0.07
Rb 0.500 0.500 0.500  0.01
H 0.000 0.000 0.000  0.00
Te 0.000 0.500 0.000  0.07
N 0.000 0.000 0.500  1.59

=====

RbTe2HN: optimized geometry, GGA-PBE.

Output
- M_tot: 7.00 Bohr magnetons per cell
- Energy above the most stable polymorph in this dataset: 990 meV/atom

Unit cell a=7.290 b=7.290 c=5.959 alpha=90.00 beta=90.00 gamma=90.00
Last column: magnetic moment on the atom in μB.
Sites, in units of the cell vectors:
Rb 0.000 0.000 0.000  0.02
N 0.000 0.000 0.500  1.79
H 0.500 0.500 0.500  0.38
Te 0.500 0.000 0.000  0.79
Te 0.000 0.500 0.000  0.79

=====

RbHWN2: optimized geometry, GGA-PBE.

Output
- Uncorrected energy: -3.90 eV/atom
- M_tot: 0.00 Bohr magnetons per cell

Unit cell a=4.401 b=3.194 c=4.401 alpha=90.00 beta=90.00 gamma=90.00
Sites, in units of the cell vectors:
Rb 0.000 0.000 0.000
H 0.000 0.500 0.000
N 0.500 0.000 0.000
W 0.500 0.500 0.500
N 0.000 0.000 0.500

=====

ReHN2: optimized geometry, GGA-PBE.

Output
- M_tot: 0.01 Bohr magnetons per cell
- Energy above the most stable polymorph in this dataset: 1087 meV/atom

Unit cell a=3.515 b=3.515 c=3.515 alpha=60.00 beta=60.00 gamma=60.00
Last column: magnetic moment on the atom in μB.
Sites, in units of the cell vectors:
N 0.750 0.750 0.750  0.03
H 0.000 0.000 0.000  0.08
N 0.250 0.250 0.250  0.03
Re 0.500 0.500 0.500  -0.21

=====

ReH2N: optimized geometry, GGA-PBE.

Output
- M_tot: 0.00 Bohr magnetons per cell
- Energy above the most stable polymorph in this dataset: 467 meV/atom

Unit cell a=3.339 b=3.339 c=3.339 alpha=60.00 beta=60.00 gamma=60.00
Sites, in units of the cell vectors:
H 0.750 0.750 0.750
Re 0.500 0.500 0.500
N 0.000 0.000 0.000
H 0.250 0.250 0.250

=====

Q: The highest M_tot belongs to which entry?
A: number 9

=====

Q: M_tot of number 11 (ReHN2)?
A: 0.01 Bohr magnetons per cell

=====

Q: Which value of M_tot does entry 9 give?
A: 7.00 Bohr magnetons per cell